Entry 1:
Density functional theory data (PBE-GGA) for crystalline RbZr2SeN at its relaxed geometry.

POSCAR file:
```
RbZr2SeN
1.0
5.2366 0.0000 0.0000
0.0000 5.2366 0.0000
0.0000 0.0000 4.1482
Rb Zr Se N
1 2 1 1
Direct
0.0000 0.0000 0.0000
0.0000 0.5000 0.0000
0.5000 0.0000 0.0000
0.5000 0.5000 0.5000
0.0000 0.0000 0.5000
```

=====

Entry 2:
Density functional theory data (PBE-GGA) for crystalline ErTm2Pt2 at its relaxed geometry.

POSCAR file:
```
ErTm2Pt2
1.0
4.8471 0.0000 0.0000
0.0000 4.8542 0.0000
0.0000 0.0000 10.2369
Er Tm Pt
2 4 4
Direct
0.2500 0.2500 0.1685
0.7500 0.7500 0.8315
0.2500 0.2500 0.5008
0.2500 0.2500 0.8330
0.7500 0.7500 0.1670
0.7500 0.7500 0.4992
0.2500 0.7500 0.3390
0.2500 0.7500 0.9828
0.7500 0.2500 0.0172
0.7500 0.2500 0.6610
```

=====

Respective E values: -19.56; -61.93 eV/cell.